#P
Material: ZrCr3P
Method: DFT, PBE
State: relaxed

Values from the calculation:
The symmetry is Pm-3m. Its density of states at the Fermi level is 12.1 states/eV/cell.

Cell: 4.5391 4.5391 4.5391 Å, 90.00 90.00 90.00°
With the nearest neighbours (Å) after each atom.
Positions (direct):
Cr: 0.0000 0.5000 0.0000  2 Zr 2.27
Cr: 0.0000 0.0000 0.5000  2 Zr 2.27
Cr: 0.5000 0.0000 0.0000  2 Zr 2.27
Zr: 0.0000 0.0000 0.0000  6 Cr 2.27
P: 0.5000 0.5000 0.5000  12 Cr 3.21


#Q
Material: ZrCr3P
Method: DFT, PBE
State: relaxed

Values from the calculation:
The symmetry is Pm-3m. Its density of states at the Fermi level is 5.7 states/eV/cell.

Cell: 4.2919 4.2919 4.2919 Å, 90.00 90.00 90.00°
With the nearest neighbours (Å) after each atom.
Positions (direct):
Cr: 0.0000 0.5000 0.0000  2 P 2.15
Cr: 0.0000 0.0000 0.5000  2 P 2.15
Cr: 0.5000 0.0000 0.0000  2 P 2.15
Zr: 0.5000 0.5000 0.5000  12 Cr 3.03
P: 0.0000 0.0000 0.0000  6 Cr 2.15


#Q is favored, and the nearest alternative lies 2.060 eV/atom above it.


#P
Material: ZrCrP2
Method: DFT, PBE
State: relaxed

Values from the calculation:
The symmetry is P4mm. Its density of states at the Fermi level is 2.1 states/eV/cell.

Cell: 3.6509 3.6509 5.1947 Å, 90.00 90.00 90.00°
With the nearest neighbours (Å) after each atom.
Positions (direct):
Cr: 0.5000 0.5000 0.8488  6 P 2.54-2.66
P: 0.0000 0.0000 0.8914  2 Zr 2.56-2.64, 4 Cr 2.59
P: 0.5000 0.5000 0.3607  2 Cr 2.54-2.66, 4 Zr 2.59
Zr: 0.0000 0.0000 0.3992  6 P 2.56-2.64


#Q
Material: ZrCrP2
Method: DFT, PBE
State: relaxed

Values from the calculation:
The symmetry is Imm2. Its density of states at the Fermi level is 2.0 states/eV/cell.

Cell: 6.1970 6.1970 6.1970 Å, 150.44 148.17 43.99°
With the nearest neighbours (Å) after each atom.
Positions (direct):
Cr: 0.2069 0.7069 0.5000  6 P 2.32-2.47
P: 0.0588 0.0588 0.0000  2 Cr 2.32
P: 0.7795 0.2795 0.5000  4 Cr 2.47, 2 Zr 2.63
Zr: 0.4547 0.4547 0.0000  6 P 2.61-2.63


#Q is favored, and the nearest alternative lies 0.062 eV/atom above it.


#P
Material: Pa2CrPb
Method: DFT, PBE
State: relaxed

Values from the calculation:
The symmetry is R-3m. Its density of states at the Fermi level is 6.6 states/eV/cell.

Cell: 3.7871 3.7871 8.4751 Å, 77.09 77.09 60.00°
With the nearest neighbours (Å) after each atom.
Positions (direct):
Pb: 0.0000 0.0000 0.0000  6 Pa 3.43, 6 Pb 3.79
Cr: 0.5000 0.5000 0.5000  6 Pa 2.62
Pa: 0.7744 0.7744 0.6769  3 Cr 2.62
Pa: 0.2256 0.2256 0.3231  3 Cr 2.62


#Q
Material: Pa2CrPb
Method: DFT, PBE
State: relaxed

Values from the calculation:
The symmetry is P4/mmm. Its density of states at the Fermi level is 6.0 states/eV/cell.

Cell: 3.1947 3.1947 8.9144 Å, 90.00 90.00 90.00°
With the nearest neighbours (Å) after each atom.
Positions (direct):
Pb: 0.5000 0.5000 0.0000  4 Pb 3.19, 8 Pa 3.51
Cr: 0.5000 0.5000 0.5000  8 Pa 2.87, 4 Cr 3.19
Pa: 0.0000 0.0000 0.6987  4 Cr 2.87, 4 Pa 3.19
Pa: 0.0000 0.0000 0.3013  4 Cr 2.87, 4 Pa 3.19


#Q is favored, and the nearest alternative lies 0.257 eV/atom above it.


#P
Material: PaCrRe2
Method: DFT, PBE
State: relaxed

Values from the calculation:
The symmetry is P4/mmm. Its density of states at the Fermi level is 4.4 states/eV/cell.

Cell: 2.9596 2.9596 7.5490 Å, 90.00 90.00 90.00°
With the nearest neighbours (Å) after each atom.
Positions (direct):
Re: 0.0000 0.0000 0.8029  4 Cr 2.57
Re: 0.0000 0.0000 0.1971  4 Cr 2.57
Pa: 0.5000 0.5000 0.5000  4 Pa 2.96, 8 Re 3.10
Cr: 0.5000 0.5000 0.0000  8 Re 2.57


#Q
Material: PaCrRe2
Method: DFT, PBE
State: relaxed

Values from the calculation:
The symmetry is R-3m. Its density of states at the Fermi level is 5.6 states/eV/cell.

Cell: 2.8472 2.8472 9.5522 Å, 81.43 81.43 60.00°
With the nearest neighbours (Å) after each atom.
Positions (direct):
Re: 0.7372 0.7372 0.7884  3 Cr 2.58, 6 Re 2.85
Re: 0.2628 0.2628 0.2116  3 Cr 2.58, 6 Re 2.85
Pa: 0.5000 0.5000 0.5000  6 Pa 2.85, 6 Re 3.17
Cr: 0.0000 0.0000 0.0000  6 Re 2.58, 6 Cr 2.85


#R
Material: PaCrRe2
Method: DFT, PBE
State: relaxed

Values from the calculation:
The symmetry is P4/mmm. Its density of states at the Fermi level is 5.3 states/eV/cell.

Cell: 3.3045 4.5844 4.5844 Å, 90.00 90.00 90.00°
With the nearest neighbours (Å) after each atom.
Positions (direct):
Re: 0.0000 0.0000 0.5000  4 Cr 2.83, 4 Pa 2.83
Re: 0.0000 0.5000 0.0000  4 Cr 2.83, 4 Pa 2.83
Pa: 0.5000 0.5000 0.5000  8 Re 2.83
Cr: 0.5000 0.0000 0.0000  8 Re 2.83


#P is favored, and the nearest alternative lies 0.172 eV/atom above it.


#P
Material: Pa2CrRu
Method: DFT, PBE
State: relaxed

Values from the calculation:
The symmetry is P4/mmm. Its density of states at the Fermi level is 6.7 states/eV/cell.

Cell: 3.4923 4.7419 4.7419 Å, 90.00 90.00 90.00°
With the nearest neighbours (Å) after each atom.
Positions (direct):
Ru: 0.5000 0.0000 0.0000  8 Pa 2.94
Pa: 0.0000 0.0000 0.5000  4 Cr 2.94, 4 Ru 2.94
Pa: 0.0000 0.5000 0.0000  4 Cr 2.94, 4 Ru 2.94
Cr: 0.5000 0.5000 0.5000  8 Pa 2.94


#Q
Material: Pa2CrRu
Method: DFT, PBE
State: relaxed

Values from the calculation:
The symmetry is R-3m. Its density of states at the Fermi level is 5.7 states/eV/cell.

Cell: 3.0558 3.0558 9.5899 Å, 80.83 80.83 60.00°
With the nearest neighbours (Å) after each atom.
Positions (direct):
Ru: 0.0000 0.0000 0.0000  6 Pa 2.93, 6 Ru 3.06
Pa: 0.4160 0.4160 0.7521  1 Cr 2.38
Pa: 0.5840 0.5840 0.2479  1 Cr 2.38
Cr: 0.5000 0.5000 0.5000  2 Pa 2.38


#P is favored, and the nearest alternative lies 0.313 eV/atom above it.


#P
Material: ScPaCr
Method: DFT, PBE
State: relaxed

Values from the calculation:
The symmetry is I4/mmm. Its density of states at the Fermi level is 7.0 states/eV/cell.

Cell: 3.4156 3.4156 11.6513 Å, 98.43 98.43 90.00°
With the nearest neighbours (Å) after each atom.
Positions (direct):
Cr: 0.2727 0.2727 0.5454  1 Pa 2.42, 4 Cr 2.63
Cr: 0.7273 0.7273 0.4546  1 Pa 2.42, 4 Cr 2.63
Pa: 0.1667 0.1667 0.3335  1 Cr 2.42
Pa: 0.8333 0.8333 0.6665  1 Cr 2.42
Sc: 0.5719 0.5719 0.1439  4 Pa 3.24, 5 Sc 3.28-3.42, 1 Cr 3.54
Sc: 0.4281 0.4281 0.8561  4 Pa 3.24, 5 Sc 3.28-3.42, 1 Cr 3.54


#Q
Material: ScPaCr
Method: DFT, PBE
State: relaxed

Values from the calculation:
The symmetry is I4mm. Its density of states at the Fermi level is 5.1 states/eV/cell.

Cell: 3.3021 3.3021 5.8403 Å, 106.42 106.42 90.00°
With the nearest neighbours (Å) after each atom.
Positions (direct):
Sc: 0.0086 0.0086 0.0171  4 Cr 3.00, 5 Pa 3.18-3.20, 4 Sc 3.30
Cr: 0.6842 0.6842 0.3683  4 Pa 2.68, 4 Sc 3.00
Pa: 0.3073 0.3073 0.6146  4 Cr 2.68


#Q is favored, and the nearest alternative lies 0.193 eV/atom above it.